# 1
Compound: Zn2Rh
Source: Alexandria
Functional: GGA-PBE
Structure: relaxed

Lattice parameters (Å, degrees): 5.0685 5.0685 6.4046 106.51 106.51 32.74
Closest atoms and distances in Å follow each position.
Sites, in units of the cell vectors:
Zn 0.0298 0.0298 0.3078  5 Rh 2.65-2.67, 7 Zn 2.69-2.86
Zn 0.3560 0.3560 0.9653  3 Rh 2.63-2.67, 9 Zn 2.65-2.86
Zn 0.6440 0.6440 0.0347  3 Rh 2.63-2.67, 9 Zn 2.65-2.86
Zn 0.9702 0.9702 0.6922  5 Rh 2.65-2.67, 7 Zn 2.69-2.86
Rh 0.3101 0.3101 0.3562  8 Zn 2.63-2.67, 4 Rh 2.84-2.86
Rh 0.6899 0.6899 0.6438  8 Zn 2.63-2.67, 4 Rh 2.84-2.86

Results
V	14.16	Å³/atom
crystal system	monoclinic
total energy	-3.56	eV/atom
D(E_F)	3.65	states/eV/cell
space group	C2/m (12)

***

# 2
Compound: ZnRh
Source: Alexandria
Functional: GGA-PBE
Structure: relaxed

Lattice parameters (Å, degrees): 5.0703 5.0703 6.4089 105.69 105.69 32.22
Closest atoms and distances in Å follow each position.
Sites, in units of the cell vectors:
Zn 0.0000 0.0000 0.0000  7 Rh 2.64-2.69, 5 Zn 2.73-2.81
Zn 0.0569 0.0569 0.6069  7 Rh 2.63-2.68, 5 Zn 2.73-2.81
Zn 0.3737 0.3737 0.2695  6 Rh 2.63-2.68, 6 Zn 2.77-2.81
Rh 0.3405 0.3405 0.6641  6 Zn 2.64-2.68, 6 Rh 2.76-2.81
Rh 0.6549 0.6549 0.3326  7 Zn 2.63-2.68, 5 Rh 2.76-2.81
Rh 0.7202 0.7202 0.9381  7 Zn 2.63-2.69, 5 Rh 2.76-2.81

Results
V	14.05	Å³/atom
crystal system	monoclinic
total energy	-4.59	eV/atom
D(E_F)	4.26	states/eV/cell
space group	Cm (8)

***

# 3
Compound: ZnRh
Source: Alexandria
Functional: GGA-PBE
Structure: relaxed

Lattice parameters (Å, degrees): 8.4039 7.7280 4.4269 82.70 65.80 31.50
Closest atoms and distances in Å follow each position.
Sites, in units of the cell vectors:
Zn 0.0368 0.7132 0.0368  3 Zn 2.50-2.53, 6 Rh 2.75
Zn 0.2868 0.9632 0.2868  3 Zn 2.50-2.53, 6 Rh 2.75
Zn 0.7132 0.0368 0.7132  3 Zn 2.50-2.53, 6 Rh 2.75
Zn 0.9632 0.2868 0.9632  3 Zn 2.50-2.53, 6 Rh 2.75
Rh 0.2899 0.2899 0.4601  3 Rh 2.51-2.53, 6 Zn 2.75
Rh 0.4601 0.4601 0.2899  3 Rh 2.51-2.53, 6 Zn 2.75
Rh 0.5399 0.5399 0.7101  3 Rh 2.51-2.53, 6 Zn 2.75
Rh 0.7101 0.7101 0.5399  3 Rh 2.51-2.53, 6 Zn 2.75

Results
V	15.15	Å³/atom
crystal system	orthorhombic
total energy	-4.39	eV/atom
D(E_F)	6.52	states/eV/cell
space group	Fddd (70)